No. 1
VASP calculation (PBE) on a relaxed TbNp3 crystal. Values from VASP.

Results
* energy: -10.134 eV per atom
* crystal system: tetragonal

Quantum ESPRESSO input file:
```
&SYSTEM
  ibrav = 0, nat = 4, ntyp = 2
/
ATOMIC_SPECIES
Tb 158.93 Tb.upf
Np 237.00 Np.upf
ATOMIC_POSITIONS angstrom
Tb 0.000 0.000 0.000
Np 2.803 -0.004 1.612
Np 0.951 2.637 1.612
Np 3.754 2.633 0.000
CELL_PARAMETERS angstrom
5.606 -0.007 0.000
1.902 5.273 0.000
-3.754 -2.633 3.225
```

---

No. 2
VASP calculation (PBE) on a relaxed AlPt2Rh crystal. Values from VASP.

Results
* energy: -6.217 eV per atom
* crystal system: cubic

Quantum ESPRESSO input file:
```
&SYSTEM
  ibrav = 0, nat = 4, ntyp = 3
/
ATOMIC_SPECIES
Pt 195.08 Pt.upf
Al 26.98 Al.upf
Rh 102.91 Rh.upf
ATOMIC_POSITIONS angstrom
Pt 1.642 -1.400 1.615
Pt 4.927 -4.200 4.844
Al 0.000 0.000 0.000
Rh 3.285 -2.800 3.230
CELL_PARAMETERS angstrom
3.854 -2.112 0.248
2.342 0.124 3.725
0.374 -3.613 2.487
```

---

No. 3
VASP calculation (PBE) on a relaxed La3Pt2Au2 crystal. Values from VASP.

Results
* energy: -5.610 eV per atom
* crystal system: trigonal

Quantum ESPRESSO input file:
```
&SYSTEM
  ibrav = 0, nat = 7, ntyp = 3
/
ATOMIC_SPECIES
La 138.91 La.upf
Pt 195.08 Pt.upf
Au 196.97 Au.upf
ATOMIC_POSITIONS angstrom
La -0.540 -6.417 0.270
La -1.658 -19.697 0.829
Pt -0.803 -9.537 0.401
Au -1.922 -22.834 0.961
Pt -1.396 -16.577 0.697
Au -0.276 -3.281 0.138
La 0.000 0.000 0.000
CELL_PARAMETERS angstrom
-2.700 -8.450 2.491
-1.591 -8.749 -2.411
2.092 -8.915 1.018
```

---

No. 4
VASP calculation (PBE) on a relaxed PaZn2Ag crystal. Values from VASP.

Results
* crystal system: tetragonal
* E above lowest polymorph: 0.000 eV per atom

Quantum ESPRESSO input file:
```
&SYSTEM
  ibrav = 0, nat = 4, ntyp = 3
/
ATOMIC_SPECIES
Zn 65.41 Zn.upf
Pa 231.04 Pa.upf
Ag 107.87 Ag.upf
ATOMIC_POSITIONS angstrom
Zn 4.498 1.040 3.705
Pa 1.856 -0.537 3.924
Ag -1.010 -1.200 1.563
Zn 1.235 0.285 1.017
CELL_PARAMETERS angstrom
-2.036 0.620 2.298
0.016 -3.020 0.829
5.733 1.326 4.722
```